No. 1
Computed, not measured: crystalline MnFe2Te at its relaxed geometry at the PBE level of DFT.

## Properties
Space-group type: P4/mmm, No. 123

POSCAR file:
```
MnFe2Te
1.0
-1.728 -6.383 -0.138
3.335 1.638 1.620
-0.580 -1.607 2.821
Mn Fe Te
1 2 1
Direct
0.000 0.500 0.500
0.500 0.000 0.500
0.000 0.000 0.000
0.500 0.500 0.000
```

=====

No. 2
Computed, not measured: crystalline Mn2FeTe at its relaxed geometry at the PBE level of DFT.

## Properties
Space-group type: P4mm, No. 99

POSCAR file:
```
Mn2FeTe
1.0
3.338 0.000 0.000
0.000 3.338 0.000
0.000 0.000 5.407
Mn Fe Te
2 1 1
Direct
0.000 0.000 0.994
0.500 0.500 0.238
0.500 0.500 0.772
0.000 0.000 0.496
```

=====

No. 3
Computed, not measured: crystalline Mn2FeTe at its relaxed geometry at the PBE level of DFT.

## Properties
Space-group type: Immm, No. 71

POSCAR file:
```
Mn2FeTe
1.0
-3.662 1.749 -2.541
-4.102 -1.959 1.504
3.607 2.317 2.133
Mn Fe Te
2 1 1
Direct
0.491 0.491 0.000
0.009 0.009 0.000
0.250 0.750 0.500
0.750 0.250 0.500
```

=====

Uncorrected formation energy (computed, kJ/mol of atoms): 25.8, 31.1, 25.5
VASP energy (computed, eV/atom): -7.04, -7.16, -7.22
Magnetization (computed, Bohr magnetons per cell): 5.56, 8.12, 8.38